A plane-wave DFT calculation with PBEsol was carried out for a geometry-optimized YTaRe3 structure.

Values from the calculation:
Formation energy from the elements (meV per atom): 2894

abc: 4.6121 4.6121 4.6121
angles: 90.00 90.00 90.00
Space group Pm-3m (No. 221)
Asymmetric unit:
Y  0.0000  0.0000  0.0000 (multiplicity 1)
Ta  0.5000  0.5000  0.5000 (multiplicity 1)
Re  0.0000  0.0000  0.5000 (multiplicity 3)